# 1
VASP calculation (PBE) on a relaxed Tm6ZnCd2 crystal.

The value obtained for the total energy is -61.263 eV per cell.

The structure belongs to space group P2_1/c (No. 14); the cell edges are 6.214, 9.073 and 9.853 Å and the angles 90.00°, 117.78° and 90.00°. Symmetry generates all atoms from Tm at (0.069, 0.172, 0.464), Tm at (0.350, 0.687, 0.442), Tm at (0.419, 0.034, 0.300), Zn at (0.000, 0.000, 0.000) and Cd at (0.147, 0.103, 0.772).



# 2
VASP calculation (PBE) on a relaxed BaLa2Y crystal.

Its polymorph energy (0 for the lowest one) is 0.33 eV/f.u.

The structure belongs to space group I4/mmm (No. 139); the cell edges are 5.396, 5.396 and 10.802 Å and the angles 90.00°, 90.00° and 90.00°. Symmetry generates all atoms from Ba at (0.000, 0.000, 0.000), La at (0.000, 0.500, 0.250) and Y at (0.000, 0.000, 0.500).



# 3
VASP calculation (PBE) on a relaxed TaSe2BrCl crystal.

Its polymorph energy (0 for the lowest one) is 7.55 eV/f.u. As for the raw formation energy: 1.32 eV per atom.

The structure belongs to space group P4/mmm (No. 123); the cell edges are 5.047, 5.047 and 4.839 Å and the angles 90.00°, 90.00° and 90.00°. Symmetry generates all atoms from Ta at (0.000, 0.000, 0.000), Se at (0.000, 0.500, 0.500), Br at (0.500, 0.500, 0.000) and Cl at (0.500, 0.500, 0.500).



# 4
VASP calculation (PBE) on a relaxed AcWS2 crystal.

As for the raw formation energy: -0.29 eV per atom.

The structure belongs to space group R-3m (No. 166, hexagonal axes); the cell edges are 3.4487, 3.4487 and 27.1535 Å and the angles 90.00°, 90.00° and 120.00°. Symmetry generates all atoms from Ac at (0.0000, 0.0000, 0.0000), W at (0.0000, 0.0000, 0.5000) and S at (0.0000, 0.0000, 0.1122).



# 5
VASP calculation (PBE) on a relaxed K4FeRe crystal.

The value obtained for the total energy is -58.817 eV per cell.

The structure belongs to space group F-43m (No. 216); the cell edges are 9.698, 9.698 and 9.698 Å and the angles 90.00°, 90.00° and 90.00°. Symmetry generates all atoms from K at (0.125, 0.125, 0.125), Fe at (0.250, 0.250, 0.750) and Re at (0.000, 0.000, 0.500).



# 6
VASP calculation (PBE) on a relaxed AcY6HoTm2 crystal.

The value obtained for the total energy is -220.510 eV per cell.

The structure belongs to space group C2/c (No. 15); the cell edges are 9.305, 15.185 and 9.499 Å and the angles 90.00°, 94.79° and 90.00°. Symmetry generates all atoms from Ac at (0.000, 0.032, 0.250), Y at (0.059, 0.185, 0.943), Y at (0.099, 0.388, 0.112), Y at (0.220, 0.228, 0.319), Ho at (0.000, 0.413, 0.750) and Tm at (0.241, 0.444, 0.448).



# 7
VASP calculation (PBE) on a relaxed PmI4 crystal.

Its polymorph energy (0 for the lowest one) is 0.00 eV/f.u. As for the raw formation energy: -1.11 eV per atom.

The structure belongs to space group C2/m (No. 12); the cell edges are 8.014, 13.816 and 11.358 Å and the angles 90.00°, 90.13° and 90.00°. Symmetry generates all atoms from Pm at (0.000, 0.171, 0.000), I at (0.110, 0.500, 0.592), I at (0.128, 0.000, 0.159) and I at (0.186, 0.316, 0.161).



# 8
VASP calculation (PBE) on a relaxed CsZr2BeAg crystal.

The value obtained for the total energy is -12.471 eV per cell.

The structure belongs to space group P4/mmm (No. 123); the cell edges are 5.275, 5.275 and 5.365 Å and the angles 90.00°, 90.00° and 90.00°. Symmetry generates all atoms from Cs at (0.000, 0.000, 0.000), Zr at (0.000, 0.500, 0.000), Be at (0.500, 0.500, 0.500) and Ag at (0.000, 0.000, 0.500).



# 9
VASP calculation (PBE) on a relaxed NaTaO3 crystal.

As for the raw formation energy: -2.56 eV per atom.

The structure belongs to space group P2_1/c (No. 14); the cell edges are 7.385, 5.304 and 7.176 Å and the angles 90.00°, 111.39° and 90.00°. Symmetry generates all atoms from Na at (0.102, 0.242, 0.120), Ta at (0.387, 0.733, 0.372), O at (0.137, 0.665, 0.731), O at (0.322, 0.076, 0.961) and O at (0.441, 0.576, 0.138).



# 10
VASP calculation (PBE) on a relaxed MnHgS2N crystal.

Its polymorph energy (0 for the lowest one) is 5.20 eV/f.u. As for the raw formation energy: 1.32 eV per atom.

The structure belongs to space group P4/mmm (No. 123); the cell edges are 5.126, 5.126 and 4.093 Å and the angles 90.00°, 90.00° and 90.00°. Symmetry generates all atoms from Mn at (0.000, 0.000, 0.000), Hg at (0.500, 0.500, 0.500), S at (0.000, 0.500, 0.500) and N at (0.500, 0.500, 0.000).



# 11
VASP calculation (PBE) on a relaxed ScAlTe2 crystal.

As for the raw formation energy: -0.76 eV per atom.

The structure belongs to space group Pm (No. 6); the cell edges are 4.091, 4.162 and 6.120 Å and the angles 90.00°, 109.51° and 90.00°. Symmetry generates all atoms from Sc at (0.000, 0.000, 0.000), Al at (0.815, 0.500, 0.634), Te at (0.302, 0.000, 0.605) and Te at (0.582, 0.500, 0.164).



# 12
VASP calculation (PBE) on a relaxed LaY2ZrNi crystal.

The value obtained for the total energy is -27.350 eV per cell.

The structure belongs to space group P4/mmm (No. 123); the cell edges are 5.446, 5.446 and 5.591 Å and the angles 90.00°, 90.00° and 90.00°. Symmetry generates all atoms from La at (0.000, 0.000, 0.000), Y at (0.000, 0.500, 0.500), Zr at (0.000, 0.000, 0.500) and Ni at (0.500, 0.500, 0.000).